#one
! Sc3Cu5 | the Alexandria database | PBE | relaxed; values from VASP
&SYSTEM
  ibrav = 0, nat = 8, ntyp = 2
/
ATOMIC_SPECIES
Sc 44.96 Sc.upf
Cu 63.55 Cu.upf
CELL_PARAMETERS angstrom
3.2348 -4.4447 0.0000
3.2348 4.4447 0.0000
0.0000 0.0000 4.4596
ATOMIC_POSITIONS crystal
Sc 0.5000 0.5000 0.0000
Sc 0.7802 0.2198 0.5000
Sc 0.2198 0.7802 0.5000
Cu 0.0000 0.0000 0.0000
Cu 0.5000 0.0000 0.0000
Cu 0.0000 0.5000 0.0000
Cu 0.7161 0.7161 0.5000
Cu 0.2839 0.2839 0.5000
! - Crystal system: orthorhombic
! - SG: Cmmm, No. 65
! - Magnetic moment: 0.0 μB/cell

=====

#two
! Sc3Cu5 | the Alexandria database | PBE | relaxed; values from VASP
&SYSTEM
  ibrav = 0, nat = 32, ntyp = 2
/
ATOMIC_SPECIES
Sc 44.96 Sc.upf
Cu 63.55 Cu.upf
CELL_PARAMETERS angstrom
-5.2581 2.1133 -0.0317
-0.7080 -1.8930 -8.7705
-3.7113 -9.1999 2.2853
ATOMIC_POSITIONS crystal
Sc 0.5999 0.2500 0.0574
Sc 0.9001 0.2500 0.5574
Sc 0.4001 0.7500 0.9426
Sc 0.0999 0.7500 0.4426
Sc 0.1344 0.5142 0.1496
Sc 0.3656 0.9858 0.6496
Sc 0.8656 0.0142 0.8504
Sc 0.6344 0.4858 0.3504
Sc 0.8656 0.4858 0.8504
Sc 0.6344 0.0142 0.3504
Sc 0.1344 0.9858 0.1496
Sc 0.3656 0.5142 0.6496
Cu 0.4125 0.2500 0.5213
Cu 0.0875 0.2500 0.0213
Cu 0.5875 0.7500 0.4787
Cu 0.9125 0.7500 0.9787
Cu 0.3403 0.2500 0.2770
Cu 0.1597 0.2500 0.7770
Cu 0.6597 0.7500 0.7230
Cu 0.8403 0.7500 0.2230
Cu 0.9109 0.2500 0.2633
Cu 0.5891 0.2500 0.7633
Cu 0.0891 0.7500 0.7367
Cu 0.4109 0.7500 0.2367
Cu 0.1392 0.4480 0.4118
Cu 0.3608 0.0520 0.9118
Cu 0.8608 0.9480 0.5882
Cu 0.6392 0.5520 0.0882
Cu 0.8608 0.5520 0.5882
Cu 0.6392 0.9480 0.0882
Cu 0.1392 0.0520 0.4118
Cu 0.3608 0.4480 0.9118
! - Crystal system: orthorhombic
! - SG: Pnma, No. 62
! - Magnetic moment: 0.0 μB/cell

=====

#three
! Sc3Cu5 | the Alexandria database | PBE | relaxed; values from VASP
&SYSTEM
  ibrav = 0, nat = 16, ntyp = 2
/
ATOMIC_SPECIES
Sc 44.96 Sc.upf
Cu 63.55 Cu.upf
CELL_PARAMETERS angstrom
8.2479 0.0000 0.0000
-4.1239 7.1429 0.0000
0.0000 0.0000 4.6033
ATOMIC_POSITIONS crystal
Sc 0.6278 0.0000 0.2500
Sc 0.3722 0.0000 0.7500
Sc 0.0000 0.6278 0.2500
Sc 0.3722 0.3722 0.2500
Sc 0.6278 0.6278 0.7500
Sc 0.0000 0.3722 0.7500
Cu 0.3333 0.6667 0.0000
Cu 0.6667 0.3333 0.5000
Cu 0.6667 0.3333 0.0000
Cu 0.3333 0.6667 0.5000
Cu 0.1806 0.0000 0.2500
Cu 0.8194 0.0000 0.7500
Cu 0.0000 0.1806 0.2500
Cu 0.8194 0.8194 0.2500
Cu 0.1806 0.1806 0.7500
Cu 0.0000 0.8194 0.7500
! - Crystal system: hexagonal
! - SG: P6_3/mcm, No. 193
! - Magnetic moment: 0.0 μB/cell

=====

The structure with the greatest stability is #two.

=====

#one
! Sc3Cu2 | the Alexandria database | PBE | relaxed; values from VASP
&SYSTEM
  ibrav = 0, nat = 5, ntyp = 2
/
ATOMIC_SPECIES
Sc 44.96 Sc.upf
Cu 63.55 Cu.upf
CELL_PARAMETERS angstrom
4.4034 0.0000 0.0000
2.2017 4.7410 -0.1086
2.2017 1.2891 4.5637
ATOMIC_POSITIONS crystal
Sc 0.0000 0.0000 0.0000
Sc 0.7966 0.7034 0.7034
Sc 0.2034 0.2966 0.2966
Cu 0.5000 0.2914 0.7086
Cu 0.5000 0.7086 0.2914
! - Crystal system: orthorhombic
! - SG: Immm, No. 71
! - Magnetic moment: 0.0 μB/cell

=====

#two
! Sc3Cu2 | the Alexandria database | PBE | relaxed; values from VASP
&SYSTEM
  ibrav = 0, nat = 10, ntyp = 2
/
ATOMIC_SPECIES
Sc 44.96 Sc.upf
Cu 63.55 Cu.upf
CELL_PARAMETERS angstrom
-1.8249 -0.9498 -2.5183
-0.9071 -2.6476 1.6559
-13.8527 8.9207 6.6741
ATOMIC_POSITIONS crystal
Sc 0.0000 0.0000 0.8684
Sc 0.0000 0.0000 0.1316
Sc 0.0000 0.0000 0.3150
Sc 0.0000 0.0000 0.5000
Sc 0.0000 0.0000 0.6850
Sc 0.5000 0.5000 0.0000
Cu 0.5000 0.5000 0.2230
Cu 0.5000 0.5000 0.4089
Cu 0.5000 0.5000 0.5911
Cu 0.5000 0.5000 0.7770
! - Crystal system: tetragonal
! - SG: P4/mmm, No. 123
! - Magnetic moment: 0.0 μB/cell

=====

#three
! Sc3Cu2 | the Alexandria database | PBE | relaxed; values from VASP
&SYSTEM
  ibrav = 0, nat = 5, ntyp = 2
/
ATOMIC_SPECIES
Sc 44.96 Sc.upf
Cu 63.55 Cu.upf
CELL_PARAMETERS angstrom
-4.8125 -2.7950 9.0908
-5.6345 -5.4463 7.2253
-2.6900 -5.3643 8.8093
ATOMIC_POSITIONS crystal
Sc 0.0000 0.0000 0.0000
Sc 0.2103 0.2103 0.2103
Sc 0.7897 0.7897 0.7897
Cu 0.6049 0.6049 0.6049
Cu 0.3951 0.3951 0.3951
! - Crystal system: trigonal
! - SG: R-3m, No. 166
! - Magnetic moment: 0.2 μB/cell

=====

The structure with the greatest stability is #two.

=====

#one
! Sc4Cu3 | the Alexandria database | PBE | relaxed; values from VASP
&SYSTEM
  ibrav = 0, nat = 7, ntyp = 2
/
ATOMIC_SPECIES
Cu 63.55 Cu.upf
Sc 44.96 Sc.upf
CELL_PARAMETERS angstrom
3.2474 0.0000 0.0000
-1.6237 12.5685 0.0068
0.0000 0.4178 3.2204
ATOMIC_POSITIONS crystal
Cu 0.0000 0.0000 0.0000
Cu 0.2742 0.5484 0.7258
Cu 0.7258 0.4516 0.2742
Sc 0.1632 0.3264 0.8368
Sc 0.8368 0.6736 0.1632
Sc 0.4341 0.8682 0.5659
Sc 0.5659 0.1318 0.4341
! - Crystal system: tetragonal
! - SG: I4/mmm, No. 139
! - Magnetic moment: 1.0 μB/cell

=====

#two
! Sc4Cu3 | the Alexandria database | PBE | relaxed; values from VASP
&SYSTEM
  ibrav = 0, nat = 7, ntyp = 2
/
ATOMIC_SPECIES
Sc 44.96 Sc.upf
Cu 63.55 Cu.upf
CELL_PARAMETERS angstrom
-3.9276 3.3547 -0.0358
2.0579 -1.6149 -4.4540
-3.5912 -4.2059 -0.1343
ATOMIC_POSITIONS crystal
Sc 0.0000 0.0000 0.2475
Sc 0.0000 0.0000 0.7525
Sc 0.6667 0.3333 0.5000
Sc 0.3333 0.6667 0.5000
Cu 0.0000 0.5000 0.0000
Cu 0.5000 0.5000 0.0000
Cu 0.5000 0.0000 0.0000
! - Crystal system: hexagonal
! - SG: P6/mmm, No. 191
! - Magnetic moment: 0.0 μB/cell

=====

The structure with the greatest stability is #one.

=====

#one
! ScCu12 | the Alexandria database | PBE | relaxed; values from VASP
&SYSTEM
  ibrav = 0, nat = 13, ntyp = 2
/
ATOMIC_SPECIES
Sc 44.96 Sc.upf
Cu 63.55 Cu.upf
CELL_PARAMETERS angstrom
-6.6057 -2.1525 0.5397
-1.8033 -4.4879 5.0167
-3.9363 2.1383 5.3379
ATOMIC_POSITIONS crystal
Sc 0.0000 0.0000 0.0000
Cu 0.8387 0.5000 0.5000
Cu 0.1613 0.5000 0.5000
Cu 0.1613 0.8387 0.5000
Cu 0.5000 0.5000 0.1613
Cu 0.5000 0.1613 0.8387
Cu 0.5000 0.8387 0.1613
Cu 0.1613 0.5000 0.8387
Cu 0.5000 0.1613 0.5000
Cu 0.5000 0.5000 0.8387
Cu 0.8387 0.5000 0.1613
Cu 0.5000 0.8387 0.5000
Cu 0.8387 0.1613 0.5000
! - Crystal system: cubic
! - SG: Fm-3m, No. 225
! - Magnetic moment: 0.0 μB/cell

=====

#two
! ScCu12 | the Alexandria database | PBE | relaxed; values from VASP
&SYSTEM
  ibrav = 0, nat = 13, ntyp = 2
/
ATOMIC_SPECIES
Sc 44.96 Sc.upf
Cu 63.55 Cu.upf
CELL_PARAMETERS angstrom
1.4262 3.8465 2.4945
-1.4696 -0.4872 6.2120
5.9429 -0.6855 2.2799
ATOMIC_POSITIONS crystal
Sc 0.0000 0.0000 0.0000
Cu 0.5000 0.0000 0.5000
Cu 0.0000 0.0000 0.5000
Cu 0.5000 0.5000 0.0000
Cu 0.0000 0.5000 0.0000
Cu 0.0000 0.6476 0.3524
Cu 0.0000 0.3524 0.6476
Cu 0.6476 0.3524 0.3524
Cu 0.3524 0.6476 0.6476
Cu 0.5000 0.2159 0.7841
Cu 0.5000 0.7841 0.2159
Cu 0.7159 0.7841 0.7841
Cu 0.2841 0.2159 0.2159
! - Crystal system: tetragonal
! - SG: I4/mmm, No. 139
! - Magnetic moment: 0.0 μB/cell

=====

The structure with the greatest stability is #two.